An optimized crystal structure of La2ScCoO6. Source: the Alexandria database, functional PBE+U.

Lattice parameters (Å, degrees): 7.8496 7.8496 7.8496 90.00 90.00 90.00
Closest atoms and distances in Å follow each position.
Space group Fm-3m (No. 225)
Symmetry-distinct sites (fractional):
La 0.2500 0.2500 0.2500 [8 per cell]  12 O 2.78
Sc 0.0000 0.0000 0.0000 [4 per cell]  6 O 2.03
Co 0.0000 0.0000 0.5000 [4 per cell]  6 O 1.89
O 0.0000 0.0000 0.2591 [24 per cell]  1 Co 1.89, 1 Sc 2.03

**Magnetization**: 0.0 μB/f.u.
**N(E_F)**: 0.00 states/eV/f.u.
**Final energy**: -7.92 eV per atom